1.
First-principles (GGA-PBE) data for Rb2TmZrSe4 after structural relaxation, as listed in Alexandria.

Results
- DOS at the Fermi energy (states/eV/f.u.) = 3.24
- SG = P2/m (10)

Cell: 7.083 4.050 8.355 Å, 90.00 106.14 90.00°
Positions (direct):
1 Rb 0.000 0.000 0.000
2 Rb 0.500 0.500 0.000
3 Tm 0.000 0.500 0.500
4 Zr 0.500 0.000 0.500
5 Se 0.239 0.000 0.695
6 Se 0.276 0.500 0.307
7 Se 0.724 0.500 0.693
8 Se 0.761 0.000 0.305


2.
First-principles (GGA-PBE) data for Rb3Tm2ZrSe6 after structural relaxation, as listed in Alexandria.

Results
- DOS at the Fermi energy (states/eV/f.u.) = 4.68
- SG = C2/m (12)

Cell: 7.125 7.125 8.350 Å, 98.18 98.18 120.00°
Positions (direct):
1 Rb 0.000 0.000 0.000
2 Rb 0.331 0.669 0.000
3 Rb 0.669 0.331 0.000
4 Tm 0.166 0.834 0.500
5 Tm 0.834 0.166 0.500
6 Zr 0.500 0.500 0.500
7 Se 0.110 0.436 0.307
8 Se 0.240 0.240 0.694
9 Se 0.436 0.110 0.307
10 Se 0.564 0.890 0.693
11 Se 0.760 0.760 0.306
12 Se 0.890 0.564 0.693


Formation energy (no corrections) per entry: -1491 -1558 meV per atom